Record 1
# CaBeOs2

A relaxed structure of CaBeOs2 (PBE, Alexandria via LeMat-Bulk).

a b c (Å): 5.410 5.410 4.668
angles (deg): 115.46 115.46 29.40
Fractional coordinates of all 4 atoms:
Ca1 0.000 0.000 0.000
Be1 0.500 0.500 0.500
Os1 0.209 0.209 0.709
Os2 0.791 0.791 0.291

Summary:
Formation energy (meV/atom): 326

Record 2
# Ca2BeOs

A relaxed structure of Ca2BeOs (PBE, Alexandria via LeMat-Bulk).

a b c (Å): 9.509 9.509 9.509
angles (deg): 19.62 19.62 19.62
Fractional coordinates of all 4 atoms:
Ca1 0.245 0.245 0.245
Ca2 0.755 0.755 0.755
Be1 0.000 0.000 0.000
Os1 0.500 0.500 0.500

Summary:
Formation energy (meV/atom): 864

Record 3
# CaBeOs2

A relaxed structure of CaBeOs2 (PBE, Alexandria via LeMat-Bulk).

a b c (Å): 2.980 2.980 7.138
angles (deg): 90.00 90.00 90.00
Fractional coordinates of all 4 atoms:
Ca1 0.000 0.000 0.000
Be1 0.500 0.500 0.681
Os1 0.000 0.000 0.540
Os2 0.500 0.500 0.311

Summary:
Formation energy (meV/atom): 216

Record 4
# Ca2BeTeOs

A relaxed structure of Ca2BeTeOs (PBE, Alexandria via LeMat-Bulk).

a b c (Å): 5.339 5.339 4.449
angles (deg): 90.00 90.00 90.00
Fractional coordinates of all 5 atoms:
Ca1 0.000 0.500 0.000
Ca2 0.500 0.000 0.000
Be1 0.000 0.000 0.000
Te1 0.000 0.000 0.500
Os1 0.500 0.500 0.500

Summary:
E_form (uncorrected) (eV per atom): 0.835

Record 5
# CaTi2BeOs

A relaxed structure of CaTi2BeOs (PBE, Alexandria via LeMat-Bulk).

a b c (Å): 4.514 4.514 4.643
angles (deg): 90.00 90.00 90.00
Fractional coordinates of all 5 atoms:
Ca1 0.000 0.000 0.000
Ti1 0.000 0.500 0.000
Ti2 0.500 0.000 0.000
Be1 0.500 0.500 0.500
Os1 0.000 0.000 0.500

Summary:
Formation energy (meV/atom): 2244

Record 6
# CaBe2VOs

A relaxed structure of CaBe2VOs (PBE, Alexandria via LeMat-Bulk).

a b c (Å): 4.327 4.327 5.063
angles (deg): 90.00 90.00 90.00
Fractional coordinates of all 5 atoms:
Ca1 0.000 0.000 0.000
Be1 0.000 0.500 0.500
Be2 0.500 0.000 0.500
V1 0.500 0.500 0.000
Os1 0.000 0.000 0.500

Summary:
Formation energy (meV/atom): 1281

Record 7
# CaYBeOs2

A relaxed structure of CaYBeOs2 (PBE, Alexandria via LeMat-Bulk).

a b c (Å): 4.880 4.880 5.328
angles (deg): 90.00 90.00 90.00
Fractional coordinates of all 5 atoms:
Ca1 0.000 0.000 0.000
Y1 0.000 0.000 0.500
Be1 0.500 0.500 0.000
Os1 0.000 0.500 0.500
Os2 0.500 0.000 0.500

Summary:
Formation energy (meV/atom): 2355

Record 8
# CaBeP

A relaxed structure of CaBeP (PBE, Alexandria via LeMat-Bulk).

a b c (Å): 5.470 5.470 5.470
angles (deg): 145.27 145.27 49.94
Fractional coordinates of all 3 atoms:
Ca1 0.000 0.000 0.000
Be1 0.721 0.721 0.000
P1 0.289 0.289 0.000

Summary:
ΔE to the lowest computed polymorph (meV per atom): 651.0
Formation energy (meV/atom): -123

Record 9
# Ca2BeP2

A relaxed structure of Ca2BeP2 (PBE, Alexandria via LeMat-Bulk).

a b c (Å): 6.611 6.611 4.294
angles (deg): 90.00 90.00 90.00
Fractional coordinates of all 10 atoms:
Ca1 0.181 0.319 0.000
Ca2 0.319 0.819 0.000
Ca3 0.681 0.181 0.000
Ca4 0.819 0.681 0.000
Be1 0.000 0.000 0.500
Be2 0.500 0.500 0.500
P1 0.122 0.622 0.500
P2 0.378 0.122 0.500
P3 0.622 0.878 0.500
P4 0.878 0.378 0.500

Summary:
Formation energy (meV/atom): -533

Record 10
# CaBeP

A relaxed structure of CaBeP (PBE, Alexandria via LeMat-Bulk).

a b c (Å): 5.558 5.558 6.067
angles (deg): 106.20 106.20 39.27
Fractional coordinates of all 6 atoms:
Ca1 0.000 0.000 0.000
Ca2 0.661 0.661 0.571
Be1 0.366 0.366 0.297
Be2 0.743 0.743 0.126
P1 0.270 0.270 0.938
P2 0.924 0.924 0.462

Summary:
ΔE to the lowest computed polymorph (meV per atom): 147.5
Formation energy (meV/atom): -627

Record 11
# CaBe3P3

A relaxed structure of CaBe3P3 (PBE, Alexandria via LeMat-Bulk).

a b c (Å): 8.647 8.647 3.717
angles (deg): 90.00 90.00 120.00
Fractional coordinates of all 14 atoms:
Ca1 0.333 0.667 0.250
Ca2 0.667 0.333 0.750
Be1 0.053 0.403 0.750
Be2 0.349 0.947 0.750
Be3 0.403 0.349 0.250
Be4 0.597 0.651 0.750
Be5 0.651 0.053 0.250
Be6 0.947 0.597 0.250
P1 0.090 0.693 0.750
P2 0.307 0.397 0.750
P3 0.397 0.090 0.250
P4 0.603 0.910 0.750
P5 0.693 0.603 0.250
P6 0.910 0.307 0.250

Summary:
Formation energy (meV/atom): -444

Record 12
# CaBe2P

A relaxed structure of CaBe2P (PBE, Alexandria via LeMat-Bulk).

a b c (Å): 5.644 5.644 2.818
angles (deg): 104.31 104.31 122.67
Fractional coordinates of all 4 atoms:
Ca1 0.000 0.000 0.000
Be1 0.000 0.500 0.500
Be2 0.500 0.000 0.500
P1 0.500 0.500 0.000

Summary:
Formation energy (meV/atom): 435